Record 1
Density functional theory data (GGA-PBE) for a relaxed BeAsCl2 crystal.

The value obtained for the total energy is -11.9 eV/f.u. The magnetic moment is 0.000 μB/f.u. For the energy relative to the elements, uncorrected, the calculation gives 0.046 eV/atom. Its energy above the most stable polymorph in this dataset is 573 meV per atom.

The space group is P4mm (No. 99) and the conventional cell measures 3.095, 3.095 and 8.071 Å, with angles of 90.00, 90.00 and 90.00 degrees. Symmetry generates all atoms from Be at (0.000, 0.000, 0.000), As at (0.500, 0.500, 0.801), Cl at (0.000, 0.000, 0.581) and Cl at (0.500, 0.500, 0.153).

=====

Record 2
Density functional theory data (GGA-PBE) for a relaxed BaSe6 crystal.

The value obtained for the total energy is -22.7 eV/f.u. The magnetic moment is 0.000 μB/f.u. For the energy relative to the elements, uncorrected, the calculation gives 0.018 eV/atom.

The space group is Im-3m (No. 229) and the conventional cell measures 7.720, 7.720 and 7.720 Å, with angles of 90.00, 90.00 and 90.00 degrees. Symmetry generates all atoms from Ba at (0.000, 0.000, 0.000) and Se at (0.000, 0.250, 0.500).